[1]
Here is crystalline Sr2BeAu7 at its relaxed geometry from Alexandria. Energies are from PBE.

Cell lengths 4.250, 4.250, 12.487 Å; angles 90.00, 90.00, 90.00 degrees
Sites, in units of the cell vectors:
Sr  0.000  0.500  0.248
Sr  0.500  0.000  0.752
Be  0.500  0.500  0.000
Au  0.000  0.000  0.000
Au  0.000  0.000  0.500
Au  0.000  0.500  0.651
Au  0.000  0.500  0.868
Au  0.500  0.000  0.132
Au  0.500  0.000  0.349
Au  0.500  0.500  0.500

* ΔE_f: -0.3538 eV/atom
* raw total energy: -3.36 eV per atom
* space-group type: P-4m2, No. 115



[2]
Here is crystalline SrBeAu4 at its relaxed geometry from Alexandria. Energies are from PBE.

Cell lengths 5.617, 5.617, 5.617 Å; angles 60.00, 60.00, 60.00 degrees
Sites, in units of the cell vectors:
Sr  0.000  0.000  0.000
Be  0.250  0.250  0.250
Au  0.127  0.624  0.624
Au  0.624  0.127  0.624
Au  0.624  0.624  0.127
Au  0.624  0.624  0.624

* ΔE_f: -0.0726 eV/atom
* raw total energy: -3.16 eV per atom
* space-group type: F-43m, No. 216
* excess energy over the best structure of this formula in the dataset: 33.7 kJ/mol of atoms



[3]
Here is crystalline SrBe2Au at its relaxed geometry from Alexandria. Energies are from PBE.

Cell lengths 8.334, 8.334, 8.334 Å; angles 146.63, 146.63, 47.91 degrees
Sites, in units of the cell vectors:
Sr  0.375  0.625  0.750
Sr  0.625  0.375  0.250
Be  0.000  0.000  0.000
Be  0.000  0.000  0.500
Be  0.000  0.500  0.000
Be  0.500  0.000  0.500
Au  0.125  0.875  0.250
Au  0.875  0.125  0.750

* ΔE_f: -0.0405 eV/atom
* raw total energy: -3.14 eV per atom
* space-group type: I4_1/amd, No. 141
* excess energy over the best structure of this formula in the dataset: 16.8 kJ/mol of atoms



[4]
Here is crystalline SrBe2Au at its relaxed geometry from Alexandria. Energies are from PBE.

Cell lengths 4.087, 4.087, 6.028 Å; angles 109.37, 109.37, 59.89 degrees
Sites, in units of the cell vectors:
Sr  0.000  0.000  0.000
Be  0.505  0.505  0.513
Be  0.822  0.822  0.463
Au  0.187  0.187  0.558

* ΔE_f: -0.2150 eV/atom
* raw total energy: -3.32 eV per atom
* space-group type: Cm, No. 8
* excess energy over the best structure of this formula in the dataset: 0.0 kJ/mol of atoms



[5]
Here is crystalline Sr2BeAu at its relaxed geometry from Alexandria. Energies are from PBE.

Cell lengths 6.296, 6.296, 6.296 Å; angles 144.06, 130.71, 62.50 degrees
Sites, in units of the cell vectors:
Sr  0.000  0.000  0.000
Sr  0.704  0.204  0.500
Be  0.406  0.406  0.000
Au  0.294  0.794  0.500

* ΔE_f: -0.1435 eV/atom
* raw total energy: -2.74 eV per atom
* space-group type: Imm2, No. 44



[6]
Here is crystalline SrBe2Au at its relaxed geometry from Alexandria. Energies are from PBE.

Cell lengths 4.794, 4.794, 4.794 Å; angles 60.00, 60.00, 60.00 degrees
Sites, in units of the cell vectors:
Sr  0.000  0.000  0.000
Be  0.250  0.250  0.250
Be  0.500  0.500  0.500
Au  0.750  0.750  0.750

* ΔE_f: 0.4474 eV/atom
* raw total energy: -2.66 eV per atom
* space-group type: F-43m, No. 216
* excess energy over the best structure of this formula in the dataset: 63.9 kJ/mol of atoms